(1)
Computed, not measured: crystalline PmCd4Ag at its relaxed geometry at the PBE-GGA level of DFT.

abc: 4.3133 7.7026 8.5298
angles: 90.00 90.00 90.00
Element x y z (fractional)
Pm 0.0000 0.6185 0.7500
Pm 0.0000 0.3815 0.2500
Cd 0.0000 0.0000 0.5000
Cd 0.0000 0.0000 0.0000
Cd 0.5000 0.9350 0.7500
Cd 0.5000 0.0650 0.2500
Cd 0.5000 0.6832 0.0471
Cd 0.5000 0.3168 0.9529
Cd 0.5000 0.6832 0.4529
Cd 0.5000 0.3168 0.5471
Ag 0.0000 0.2220 0.7500
Ag 0.0000 0.7780 0.2500

Energy of formation from the pure elements, eV per atom: -0.20
Total magnetization, μB per formula unit: 0.000
E_tot, eV per atom: -2.078
Energy above the lowest structure with this stoichiometry, kcal/mol of atoms: 0.000



(2)
Computed, not measured: crystalline BaYZr2 at its relaxed geometry at the PBE-GGA level of DFT.

abc: 5.9138 5.9138 6.6658
angles: 84.63 84.63 32.86
Element x y z (fractional)
Ba 0.7500 0.7500 0.7500
Y 0.2500 0.2500 0.2500
Zr 0.9929 0.9929 0.0595
Zr 0.5071 0.5071 0.4405

Energy of formation from the pure elements, eV per atom: 0.42
Total magnetization, μB per formula unit: 0.000
E_tot, eV per atom: -5.950
Energy above the lowest structure with this stoichiometry, kcal/mol of atoms: 3.382



(3)
Computed, not measured: crystalline Ti2Ag2Ge at its relaxed geometry at the PBE-GGA level of DFT.

abc: 7.6028 7.6028 3.0952
angles: 90.00 90.00 90.00
Element x y z (fractional)
Ge 0.0000 0.0000 0.0000
Ge 0.5000 0.5000 0.0000
Ag 0.3731 0.8731 0.0000
Ag 0.8731 0.6269 0.0000
Ag 0.6269 0.1269 0.0000
Ag 0.1269 0.3731 0.0000
Ti 0.1714 0.6714 0.5000
Ti 0.6714 0.8286 0.5000
Ti 0.8286 0.3286 0.5000
Ti 0.3286 0.1714 0.5000

Energy of formation from the pure elements, eV per atom: 0.21
Total magnetization, μB per formula unit: 0.000
E_tot, eV per atom: -5.009
Energy above the lowest structure with this stoichiometry, kcal/mol of atoms: 1.719



(4)
Computed, not measured: crystalline Dy12Co6Cu at its relaxed geometry at the PBE-GGA level of DFT.

abc: 8.3020 8.3020 8.3020
angles: 109.47 109.47 109.47
Element x y z (fractional)
Dy 0.3013 0.1072 0.8060
Dy 0.3013 0.4953 0.1940
Dy 0.6987 0.5047 0.8060
Dy 0.6987 0.8928 0.1940
Dy 0.1072 0.8060 0.3013
Dy 0.4953 0.1940 0.3013
Dy 0.5047 0.8060 0.6987
Dy 0.8928 0.1940 0.6987
Dy 0.8060 0.3013 0.1072
Dy 0.1940 0.3013 0.4953
Dy 0.8060 0.6987 0.5047
Dy 0.1940 0.6987 0.8928
Co 0.3858 0.5000 0.8858
Co 0.6142 0.5000 0.1142
Co 0.5000 0.8858 0.3858
Co 0.5000 0.1142 0.6142
Co 0.8858 0.3858 0.5000
Co 0.1142 0.6142 0.5000
Cu 0.0000 0.0000 0.0000

Energy of formation from the pure elements, eV per atom: -0.18
Total magnetization, μB per formula unit: 0.001
E_tot, eV per atom: -5.542